(1)
Computed, not measured: K2MoRh after structural relaxation at the PBE-GGA level of DFT.

Geometry as POSCAR:
```
K2MoRh
1.0
-0.620 2.003 -1.888
0.666 -2.480 -1.170
-11.285 -3.184 0.328
Rh Mo K
1 1 2
direct
0.500 0.500 0.750
0.500 0.500 0.250
0.000 0.000 0.979
0.000 0.000 0.521
```

Summary:
As for the distance to the lowest polymorph of the same formula: 523 meV/atom. The calculated total energy comes out at -3.951 eV per atom. Its calculated formation energy is 4.57 eV per formula unit. The space group is No. 65. The calculation puts the total magnetization at 0.6 μB/cell.


(2)
Computed, not measured: Ti3VTc2 after structural relaxation at the PBE-GGA level of DFT.

Geometry as POSCAR:
```
Ti3VTc2
1.0
3.107 0.000 0.000
0.000 3.107 0.000
0.000 0.000 9.367
Ti V Tc
3 1 2
direct
0.000 0.000 0.674
0.000 0.000 0.000
0.000 0.000 0.326
0.500 0.500 0.500
0.500 0.500 0.169
0.500 0.500 0.831
```

Summary:
The calculated total energy comes out at -9.226 eV per atom. Its calculated formation energy is -1.82 eV per formula unit. The space group is No. 123. The calculation puts the total magnetization at 0.0 μB/cell.


(3)
Computed, not measured: Pm2Nd6Y3Tl after structural relaxation at the PBE-GGA level of DFT.

Geometry as POSCAR:
```
Pm2Nd6Y3Tl
1.0
6.253 -0.008 -0.001
-3.132 5.412 -0.001
-1.048 -1.814 11.760
Y Nd Tl Pm
3 6 1 2
direct
0.500 0.500 0.500
0.167 0.833 0.500
0.833 0.167 0.500
0.243 0.243 0.749
0.083 0.410 0.250
0.757 0.757 0.251
0.590 0.917 0.750
0.917 0.590 0.750
0.410 0.083 0.250
0.000 0.000 0.000
0.666 0.334 0.000
0.334 0.666 0.000
```

Summary:
The calculated total energy comes out at -5.013 eV per atom. Its calculated formation energy is -0.29 eV per formula unit. The space group is No. 12. The calculation puts the total magnetization at 0.0 μB/cell.


(4)
Computed, not measured: CeSc3Ga4 after structural relaxation at the PBE-GGA level of DFT.

Geometry as POSCAR:
```
CeSc3Ga4
1.0
-1.564 -0.722 4.518
-3.666 -5.515 -2.150
7.603 -5.723 1.716
Ga Sc Ce
8 6 2
direct
0.500 0.232 0.000
0.000 0.232 0.250
0.500 0.768 0.500
0.000 0.232 0.750
0.000 0.768 0.750
0.000 0.768 0.250
0.500 0.768 0.000
0.500 0.232 0.500
0.500 0.000 0.750
0.500 0.500 0.250
0.000 0.000 0.000
0.000 0.000 0.500
0.500 0.500 0.750
0.500 0.000 0.250
0.000 0.500 0.500
0.000 0.500 0.000
```

Summary:
The calculated total energy comes out at -5.175 eV per atom. Its calculated formation energy is -4.36 eV per formula unit. The space group is No. 123. The calculation puts the total magnetization at 1.3 μB/cell.